PrYSnAu, optimized geometry, DFT PBE; ΔH_f (0 K) = -717 meV per atom
1.0
5.330 0.000 0.000
2.665 4.616 0.000
2.665 1.539 4.352
Pr Y Au Sn
1 1 1 1
Direct
0.250 0.250 0.250
0.750 0.750 0.750
0.500 0.500 0.500
0.000 0.000 0.000